The following is a PBE-GGA calculation of crystalline Dy2PuPaSe4 at its relaxed geometry, from Alexandria via LeMat-Bulk.

Structure (POSCAR):
```
Dy2PuPaSe4
1.0
7.0264 0.0000 0.0000
0.0000 4.0280 0.0000
-2.3148 0.0000 6.8286
Dy Pu Pa Se
2 1 1 4
direct
0.0000 0.0000 0.0000 Dy
0.5000 0.5000 0.0000 Dy
0.0000 0.5000 0.5000 Pu
0.5000 0.0000 0.5000 Pa
0.2484 0.5000 0.2445 Se
0.2524 0.0000 0.7551 Se
0.7476 0.0000 0.2449 Se
0.7516 0.5000 0.7555 Se
```

Calculated values
formation energy without anion corrections	-1.558	eV/atom
total magnetization	0.864	μB per atom
V	24.2	A^3/atom